Entry 1:
Entry from Alexandria: Ac5NdIr4 after structural relaxation (PBE).

```
Ac5NdIr4
1.0
9.128 0.000 0.000
0.000 10.192 0.000
0.000 0.000 7.324
Ac Nd Ir
10 2 8
Cartesian
0.024 0.567 1.796 Ac
0.024 4.529 1.796 Ac
2.282 2.548 5.135 Ac
4.540 0.567 1.796 Ac
4.540 4.529 1.796 Ac
4.588 5.663 5.528 Ac
4.588 9.625 5.528 Ac
6.846 7.644 2.189 Ac
9.104 5.663 5.528 Ac
9.104 9.625 5.528 Ac
2.282 7.644 2.227 Nd
6.846 2.548 5.098 Nd
0.053 7.644 0.482 Ir
2.282 5.124 3.668 Ir
2.282 10.163 3.668 Ir
4.511 7.644 0.482 Ir
4.617 2.548 6.842 Ir
6.846 0.029 3.656 Ir
6.846 5.067 3.656 Ir
9.075 2.548 6.842 Ir
```

Calculated values
Final energy (eV/atom): -6.541
Calculated formation energy (kJ/mol of formula units): -450
Excess energy over the best structure of this formula in the dataset (meV per atom): 97
Theoretical density (g/cm3): 10.0

***

Entry 2:
Entry from Alexandria: Nb3TcMo2 after structural relaxation (PBE).

```
Nb3TcMo2
1.0
3.216 0.000 0.000
0.000 3.216 0.000
0.000 0.000 9.697
Nb Tc Mo
3 1 2
Cartesian
0.000 0.000 0.000 Nb
0.000 0.000 3.252 Nb
0.000 0.000 6.444 Nb
1.608 1.608 4.848 Tc
1.608 1.608 1.626 Mo
1.608 1.608 8.071 Mo
```

Calculated values
Final energy (eV/atom): -10.581
Calculated formation energy (kJ/mol of formula units): -121
Excess energy over the best structure of this formula in the dataset (meV per atom): 6
Theoretical density (g/cm3): 9.4